A plane-wave DFT calculation with PBE was carried out for crystalline LiNdYAu at its relaxed geometry.

Results
- Magnetic moment: 0.000 μB per formula unit
- Space-group type: No. 47
- ρ: 7320 kg/m³
- Total energy: -4.49 eV per atom
- Polymorph energy (0 for the lowest one): 0 meV per atom
- Formation energy from the elements: -0.386 eV per atom

Cell: 3.7325 5.1541 5.1534 Å, 90.00 90.00 90.00°
Fractional positions:
Li (0.5000, 0.0000, 0.5000)
Nd (0.0000, 0.5000, 0.5000)
Y (0.0000, 0.0000, 0.0000)
Au (0.5000, 0.5000, 0.0000)